Computed, not measured: a relaxed CePrSm2Se4 crystal at the PBE-GGA level of DFT.

Calculated values
total magnetization = 1.0 μB/cell
formation energy without anion corrections = -1.830 eV per atom

a = 7.283 Å, b = 4.177 Å, c = 7.314 Å
α = 90.00°, β = 109.12°, γ = 90.00°
Space group P2/m (No. 10)
Symmetry-distinct sites (fractional):
Ce  0.000  0.000  0.000 [1 per cell]
Pr  0.500  0.500  0.000 [1 per cell]
Sm  0.000  0.500  0.500 [1 per cell]
Sm  0.500  0.000  0.500 [1 per cell]
Se  0.245  0.000  0.744 [2 per cell]
Se  0.249  0.500  0.254 [2 per cell]

---

Computed, not measured: a relaxed Ce4Pr3SmSe8 crystal at the PBE-GGA level of DFT.

Calculated values
total magnetization = 11.6 μB/cell
formation energy without anion corrections = -1.834 eV per atom

a = 8.4396 Å, b = 8.4396 Å, c = 20.7513 Å
α = 90.00°, β = 90.00°, γ = 120.00°
Space group R-3m (No. 166, hexagonal axes)
Symmetry-distinct sites (fractional):
Ce  0.0000  0.0000  0.0000 [3 per cell]
Ce  0.0000  0.5000  0.0000 [9 per cell]
Pr  0.0000  0.5000  0.5000 [9 per cell]
Sm  0.0000  0.0000  0.5000 [3 per cell]
Se  0.0000  0.0000  0.2516 [6 per cell]
Se  0.0037  0.5019  0.2507 [18 per cell]

---

Computed, not measured: a relaxed Ce3Pr3SmSe8 crystal at the PBE-GGA level of DFT.

Calculated values
total magnetization = 6.9 μB/cell
formation energy without anion corrections = -1.883 eV per atom

a = 14.644 Å, b = 8.461 Å, c = 8.457 Å
α = 90.00°, β = 125.22°, γ = 90.00°
Space group C2/m (No. 12)
Symmetry-distinct sites (fractional):
Ce  0.000  0.000  0.000 [2 per cell]
Ce  0.250  0.250  0.500 [4 per cell]
Pr  0.000  0.500  0.500 [2 per cell]
Pr  0.250  0.250  0.000 [4 per cell]
Sm  0.000  0.500  0.000 [2 per cell]
Se  0.002  0.250  0.250 [8 per cell]
Se  0.249  0.000  0.252 [4 per cell]
Se  0.249  0.500  0.252 [4 per cell]

---

Computed, not measured: a relaxed CePr4SmSe8 crystal at the PBE-GGA level of DFT.

Calculated values
total magnetization = 5.3 μB/cell
formation energy without anion corrections = -1.716 eV per atom

a = 8.7418 Å, b = 8.7418 Å, c = 21.4080 Å
α = 90.00°, β = 90.00°, γ = 120.00°
Space group R3m (No. 160, hexagonal axes)
Symmetry-distinct sites (fractional):
Ce  0.0000  0.0000  0.0000 [3 per cell]
Pr  0.0000  0.0000  0.6233 [3 per cell]
Pr  0.1677  0.3354  0.8322 [9 per cell]
Sm  0.0000  0.0000  0.3747 [3 per cell]
Se  0.0000  0.0000  0.2440 [3 per cell]
Se  0.0000  0.0000  0.7565 [3 per cell]
Se  0.0158  0.5079  0.7507 [9 per cell]
Se  0.1780  0.3561  0.5803 [9 per cell]

---

no.,Fermi-level density of states (states/eV/cell)
1,9.25
2,80.54
3,40.95
4,38.96